# 1
A PBEsol-optimized structure of KCdSn3, computed with SCAN.

abc: 5.791 5.791 5.791
angles: 90.00 90.00 90.00
Sites, in units of the cell vectors:
1 K 0.000 0.000 0.000
2 Cd 0.500 0.500 0.500
3 Sn 0.000 0.000 0.500
4 Sn 0.000 0.500 0.000
5 Sn 0.500 0.000 0.000

Calculated total energy   -28.077 eV/atom
SG   Pm-3m (221)
M_tot   0.000 μB/atom



# 2
A PBEsol-optimized structure of SrMgSe2, computed with SCAN.

abc: 4.129 4.129 20.170
angles: 90.00 90.00 120.00
Sites, in units of the cell vectors:
1 Sr 0.000 0.000 0.000
2 Sr 0.333 0.667 0.667
3 Sr 0.667 0.333 0.333
4 Mg 0.000 0.000 0.500
5 Mg 0.333 0.667 0.167
6 Mg 0.667 0.333 0.833
7 Se 0.000 0.000 0.239
8 Se 0.000 0.000 0.761
9 Se 0.333 0.667 0.428
10 Se 0.333 0.667 0.906
11 Se 0.667 0.333 0.094
12 Se 0.667 0.333 0.572

Calculated total energy   -18.680 eV/atom
SG   R-3m (166)
E_form (uncorrected)   -1828.2 meV/atom
M_tot   0.000 μB/atom



# 3
A PBEsol-optimized structure of CrInHg, computed with SCAN.

abc: 6.386 6.386 6.386
angles: 90.00 90.00 90.00
Sites, in units of the cell vectors:
1 Cr 0.000 0.000 0.000
2 Cr 0.000 0.500 0.500
3 Cr 0.500 0.000 0.500
4 Cr 0.500 0.500 0.000
5 In 0.250 0.250 0.750
6 In 0.250 0.750 0.250
7 In 0.750 0.250 0.250
8 In 0.750 0.750 0.750
9 Hg 0.250 0.250 0.250
10 Hg 0.250 0.750 0.750
11 Hg 0.750 0.250 0.750
12 Hg 0.750 0.750 0.250

Calculated total energy   -39.763 eV/atom
SG   F-43m (216)
Polymorph energy (0 for the lowest one)   75 meV per atom
M_tot   1.322 μB/atom